(a)
Below is a relaxed AcInHg crystal, with properties calculated at the PBE level.

CIF file:
```
data_AcInHg
_cell_length_a 5.206
_cell_length_b 5.206
_cell_length_c 5.206
_cell_angle_alpha 60.00
_cell_angle_beta 60.00
_cell_angle_gamma 60.00
_space_group_name_H-M_alt 'P 1'
_space_group_IT_number 1
_space_group_name_Hall 'P 1'
loop_
_atom_site_label
_atom_site_type_symbol
_atom_site_fract_x
_atom_site_fract_y
_atom_site_fract_z
Ac1 Ac 0.250 0.250 0.250
Hg1 Hg 0.000 0.000 0.000
In1 In 0.750 0.750 0.750
```

=====

(b)
Below is a relaxed AcInHg crystal, with properties calculated at the PBE level.

CIF file:
```
data_AcInHg
_cell_length_a 5.407
_cell_length_b 5.407
_cell_length_c 5.407
_cell_angle_alpha 60.00
_cell_angle_beta 60.00
_cell_angle_gamma 60.00
_space_group_name_H-M_alt 'P 1'
_space_group_IT_number 1
_space_group_name_Hall 'P 1'
loop_
_atom_site_label
_atom_site_type_symbol
_atom_site_fract_x
_atom_site_fract_y
_atom_site_fract_z
Ac1 Ac 0.000 0.000 0.000
Hg1 Hg 0.250 0.250 0.250
In1 In 0.750 0.750 0.750
```

=====

(c)
Below is a relaxed AcInHg crystal, with properties calculated at the PBE level.

CIF file:
```
data_AcInHg
_cell_length_a 6.408
_cell_length_b 6.408
_cell_length_c 8.107
_cell_angle_alpha 128.12
_cell_angle_beta 128.12
_cell_angle_gamma 46.76
_space_group_name_H-M_alt 'P 1'
_space_group_IT_number 1
_space_group_name_Hall 'P 1'
loop_
_atom_site_label
_atom_site_type_symbol
_atom_site_fract_x
_atom_site_fract_y
_atom_site_fract_z
Ac1 Ac 0.465 0.465 0.209
Ac2 Ac 0.535 0.535 0.791
Hg1 Hg 0.166 0.166 0.218
Hg2 Hg 0.834 0.834 0.782
In1 In 0.837 0.837 0.386
In2 In 0.163 0.163 0.614
```

=====

Ordering by calculated energy gives the sequence (c), (a), (b), with the first entry being the most stable.